Entry 1:
VASP calculation (GGA-PBE) on a relaxed structure of Mn4OsW2.

Values from the calculation:
Crystal system: tetragonal
Calculated formation energy, meV per atom: 1382
Calculated total energy, eV/atom: -9.16

Lattice parameters (Å, degrees): 4.474 4.474 12.739 90.00 90.00 90.00
Space group I4/mmm (No. 139)
One atom of each set of equivalent atoms:
1 Mn 0.000 0.000 0.199 x4
2 Mn 0.000 0.500 0.000 x4
3 Os 0.000 0.000 0.000 x2
4 W 0.000 0.000 0.399 x4



Entry 2:
VASP calculation (GGA-PBE) on a relaxed structure of MnOs2W.

Values from the calculation:
Crystal system: monoclinic
Calculated formation energy, meV per atom: 111
ΔE to the lowest computed polymorph, eV per formula unit: 0.32
Calculated total energy, eV/atom: -11.03

Lattice parameters (Å, degrees): 9.047 2.743 4.678 90.00 100.05 90.00
Space group Cm (No. 8)
One atom of each set of equivalent atoms:
1 Mn 0.000 0.000 0.000 x2
2 Os 0.250 0.500 0.249 x2
3 Os 0.494 0.000 0.478 x2
4 W 0.246 0.000 0.750 x2